[1]
This record from Alexandria via LeMat-Bulk describes a relaxed ScNb3Fe crystal. The functional is GGA-PBE.

Computed properties:
**Magnetization**: 0.00 μB per cell
**Space-group type**: Pm-3m
**Energy relative to the elements**: 0.509 eV/atom

POSCAR file:
```
ScNb3Fe
1.0
4.6593 0.0000 0.0000
0.0000 4.6593 0.0000
0.0000 0.0000 4.6593
Nb Fe Sc
3 1 1
Direct
0.0000 0.0000 0.5000
0.5000 0.0000 0.0000
0.0000 0.5000 0.0000
0.0000 0.0000 0.0000
0.5000 0.5000 0.5000
```


[2]
This record from Alexandria via LeMat-Bulk describes a relaxed CsHg2Cl2 crystal. The functional is GGA-PBE.

Computed properties:
**Magnetization**: 0.00 μB per cell
**Space-group type**: I4/mmm

POSCAR file:
```
CsHg2Cl2
1.0
5.6925 0.0000 0.0000
0.0000 5.6925 0.0000
2.8463 2.8463 5.2418
Cl Hg Cs
2 2 1
Direct
0.7500 0.2500 0.5000
0.2500 0.7500 0.5000
0.6350 0.6350 0.7299
0.3650 0.3650 0.2701
0.0000 0.0000 0.0000
```


Calculated distance to the lowest polymorph of the same formula, 0.000 0.000 eV/atom (same order as the records).
Calculated E, -42.458 -9.326 eV per cell (same order as the records).